A relaxed Ca2FeP2O12 crystal, computed with PBE with a Hubbard U.

Cell: 5.885 6.552 6.950 Å, 76.74 75.98 79.20°
Each line ends with the local moment (μB).
Sites, in units of the cell vectors:
P1 0.200 0.420 0.732  -0.01
P2 0.800 0.580 0.268  -0.01
O1 0.325 0.316 0.552  0.25
O2 0.628 0.565 0.138  0.14
O3 0.286 0.929 0.846  0.76
O4 0.220 0.019 0.135  0.75
O5 0.714 0.071 0.154  0.76
O6 0.372 0.435 0.862  0.14
O7 0.990 0.290 0.865  0.10
O8 0.061 0.639 0.668  0.18
O9 0.780 0.981 0.865  0.75
O10 0.675 0.684 0.448  0.25
O11 0.939 0.361 0.332  0.18
O12 0.010 0.710 0.135  0.10
Ca1 0.647 0.692 0.782  0.00
Ca2 0.353 0.308 0.218  0.00
Fe1 0.000 0.000 0.000  2.78

## Properties
DFT total energy = -6.237 eV per atom
Spin magnetization = 8.029 μB/f.u.